Record 1
The following is a DFT calculation (PBE) of LiTmCdBi after structural relaxation.

Structure (CIF):
```
data_LiTmCdBi
_chemical_formula_sum 'Li1 Tm1 Cd1 Bi1'
_cell_length_a 5.196
_cell_length_b 5.196
_cell_length_c 5.196
_cell_angle_alpha 60.00
_cell_angle_beta 60.00
_cell_angle_gamma 60.00
_symmetry_space_group_name_H-M 'P 1'
_symmetry_Int_Tables_number 1
_symmetry_space_group_name_Hall 'P 1'
loop_
_atom_site_label
_atom_site_type_symbol
_atom_site_fract_x
_atom_site_fract_y
_atom_site_fract_z
Li1 Li 0.000 0.000 0.000
Tm1 Tm 0.500 0.500 0.500
Cd1 Cd 0.250 0.250 0.250
Bi1 Bi 0.750 0.750 0.750
```

As for the density of states at the Fermi level: 0.859 states/eV/atom. The formation energy comes out at -0.324 eV/atom. The space group is F-43m, No. 216. Its spin magnetization is 0.00 μB/f.u.

Record 2
The following is a DFT calculation (PBE) of LiCd2BiW after structural relaxation.

Structure (CIF):
```
data_LiCd2BiW
_chemical_formula_sum 'Li1 Cd2 Bi1 W1'
_cell_length_a 5.266
_cell_length_b 5.266
_cell_length_c 4.992
_cell_angle_alpha 90.00
_cell_angle_beta 90.00
_cell_angle_gamma 90.00
_symmetry_space_group_name_H-M 'P 1'
_symmetry_Int_Tables_number 1
_symmetry_space_group_name_Hall 'P 1'
loop_
_atom_site_label
_atom_site_type_symbol
_atom_site_fract_x
_atom_site_fract_y
_atom_site_fract_z
Li1 Li 0.000 0.000 0.000
Cd1 Cd 0.000 0.500 0.500
Cd2 Cd 0.500 0.000 0.500
Bi1 Bi 0.500 0.500 0.000
W1 W 0.000 0.000 0.500
```

As for the density of states at the Fermi level: 0.704 states/eV/atom. The formation energy comes out at 1.234 eV/atom. The space group is P4/mmm, No. 123. Its spin magnetization is 0.00 μB/f.u.

Record 3
The following is a DFT calculation (PBE) of LiYCdBi after structural relaxation.

Structure (CIF):
```
data_LiYCdBi
_chemical_formula_sum 'Li1 Y1 Cd1 Bi1'
_cell_length_a 5.235
_cell_length_b 5.235
_cell_length_c 5.235
_cell_angle_alpha 60.00
_cell_angle_beta 60.00
_cell_angle_gamma 60.00
_symmetry_space_group_name_H-M 'P 1'
_symmetry_Int_Tables_number 1
_symmetry_space_group_name_Hall 'P 1'
loop_
_atom_site_label
_atom_site_type_symbol
_atom_site_fract_x
_atom_site_fract_y
_atom_site_fract_z
Li1 Li 0.000 0.000 0.000
Y1 Y 0.500 0.500 0.500
Cd1 Cd 0.750 0.750 0.750
Bi1 Bi 0.250 0.250 0.250
```

As for the density of states at the Fermi level: 0.844 states/eV/atom. The formation energy comes out at -0.366 eV/atom. The space group is F-43m, No. 216. Its spin magnetization is 0.00 μB/f.u.

Record 4
The following is a DFT calculation (PBE) of LiZnCdBi after structural relaxation.

Structure (CIF):
```
data_LiZnCdBi
_chemical_formula_sum 'Li1 Zn1 Cd1 Bi1'
_cell_length_a 4.979
_cell_length_b 4.979
_cell_length_c 4.979
_cell_angle_alpha 60.00
_cell_angle_beta 60.00
_cell_angle_gamma 60.00
_symmetry_space_group_name_H-M 'P 1'
_symmetry_Int_Tables_number 1
_symmetry_space_group_name_Hall 'P 1'
loop_
_atom_site_label
_atom_site_type_symbol
_atom_site_fract_x
_atom_site_fract_y
_atom_site_fract_z
Li1 Li 0.000 0.000 0.000
Zn1 Zn 0.500 0.500 0.500
Cd1 Cd 0.250 0.250 0.250
Bi1 Bi 0.750 0.750 0.750
```

As for the density of states at the Fermi level: 0.213 states/eV/atom. The formation energy comes out at -0.090 eV/atom. The space group is F-43m, No. 216. Its spin magnetization is 0.00 μB/f.u.

Record 5
The following is a DFT calculation (PBE) of LuCdBi after structural relaxation.

Structure (CIF):
```
data_LuCdBi
_chemical_formula_sum 'Lu1 Cd1 Bi1'
_cell_length_a 8.587
_cell_length_b 8.587
_cell_length_c 8.587
_cell_angle_alpha 157.58
_cell_angle_beta 157.58
_cell_angle_gamma 31.92
_symmetry_space_group_name_H-M 'P 1'
_symmetry_Int_Tables_number 1
_symmetry_space_group_name_Hall 'P 1'
loop_
_atom_site_label
_atom_site_type_symbol
_atom_site_fract_x
_atom_site_fract_y
_atom_site_fract_z
Lu1 Lu 0.000 0.000 0.000
Cd1 Cd 0.367 0.367 0.000
Bi1 Bi 0.185 0.185 0.000
```

As for the density of states at the Fermi level: 0.915 states/eV/atom. The formation energy comes out at 0.058 eV/atom. The space group is I4mm, No. 107. Its spin magnetization is 0.12 μB/f.u.

Record 6
The following is a DFT calculation (PBE) of LuCd2Bi after structural relaxation.

Structure (CIF):
```
data_LuCd2Bi
_chemical_formula_sum 'Lu1 Cd2 Bi1'
_cell_length_a 4.465
_cell_length_b 4.465
_cell_length_c 5.082
_cell_angle_alpha 90.00
_cell_angle_beta 90.00
_cell_angle_gamma 90.00
_symmetry_space_group_name_H-M 'P 1'
_symmetry_Int_Tables_number 1
_symmetry_space_group_name_Hall 'P 1'
loop_
_atom_site_label
_atom_site_type_symbol
_atom_site_fract_x
_atom_site_fract_y
_atom_site_fract_z
Lu1 Lu 0.000 0.000 0.000
Cd1 Cd 0.000 0.500 0.500
Cd2 Cd 0.500 0.000 0.500
Bi1 Bi 0.500 0.500 0.000
```

As for the density of states at the Fermi level: 0.229 states/eV/atom. The formation energy comes out at -0.297 eV/atom. The space group is P4/mmm, No. 123. Its spin magnetization is 0.00 μB/f.u.

Record 7
The following is a DFT calculation (PBE) of LuCdBi after structural relaxation.

Structure (CIF):
```
data_LuCdBi
_chemical_formula_sum 'Lu1 Cd1 Bi1'
_cell_length_a 4.729
_cell_length_b 4.729
_cell_length_c 4.361
_cell_angle_alpha 90.00
_cell_angle_beta 90.00
_cell_angle_gamma 120.00
_symmetry_space_group_name_H-M 'P 1'
_symmetry_Int_Tables_number 1
_symmetry_space_group_name_Hall 'P 1'
loop_
_atom_site_label
_atom_site_type_symbol
_atom_site_fract_x
_atom_site_fract_y
_atom_site_fract_z
Lu1 Lu 0.000 0.000 0.000
Cd1 Cd 0.333 0.667 0.303
Bi1 Bi 0.667 0.333 0.618
```

As for the density of states at the Fermi level: 0.327 states/eV/atom. The formation energy comes out at -0.202 eV/atom. The space group is P3m1, No. 156. Its spin magnetization is 0.00 μB/f.u.

Record 8
The following is a DFT calculation (PBE) of LuCd2Bi after structural relaxation.

Structure (CIF):
```
data_LuCd2Bi
_chemical_formula_sum 'Lu1 Cd2 Bi1'
_cell_length_a 11.915
_cell_length_b 11.915
_cell_length_c 11.915
_cell_angle_alpha 16.26
_cell_angle_beta 16.26
_cell_angle_gamma 16.26
_symmetry_space_group_name_H-M 'P 1'
_symmetry_Int_Tables_number 1
_symmetry_space_group_name_Hall 'P 1'
loop_
_atom_site_label
_atom_site_type_symbol
_atom_site_fract_x
_atom_site_fract_y
_atom_site_fract_z
Lu1 Lu 0.000 0.000 0.000
Cd1 Cd 0.087 0.087 0.087
Cd2 Cd 0.913 0.913 0.913
Bi1 Bi 0.500 0.500 0.500
```

As for the density of states at the Fermi level: 0.714 states/eV/atom. The formation energy comes out at 0.208 eV/atom. The space group is R-3m, No. 166. Its spin magnetization is 0.00 μB/f.u.

| no. | theoretical density (kg/m3) |
| --- | --- |
| 1 | 8326 |
| 2 | 7490 |
| 3 | 6829 |
| 4 | 7490 |
| 5 | 8953 |
| 6 | 9978 |
| 7 | 9759 |
| 8 | 8745 |